A geometry-optimized Np6AsSe12 structure. Source: the Alexandria database, functional PBE.

a = 8.167 Å, b = 8.167 Å, c = 8.167 Å
α = 99.91°, β = 99.91°, γ = 99.91°
Atoms (fractional coordinates):
1 Se 0.823 0.571 0.424
2 Se 0.571 0.424 0.823
3 Se 0.958 0.319 0.055
4 Se 0.424 0.823 0.571
5 Se 0.429 0.576 0.177
6 Se 0.319 0.055 0.958
7 Se 0.945 0.042 0.681
8 Se 0.042 0.681 0.945
9 Se 0.177 0.429 0.576
10 Se 0.681 0.945 0.042
11 Se 0.055 0.958 0.319
12 Se 0.576 0.177 0.429
13 Np 0.303 0.133 0.625
14 Np 0.697 0.867 0.375
15 Np 0.375 0.697 0.867
16 Np 0.625 0.303 0.133
17 Np 0.867 0.375 0.697
18 Np 0.133 0.625 0.303
19 As 0.000 0.000 0.000

Values from the calculation:
**Raw formation energy**: -0.96 eV/atom
**M_tot**: 21.0 μB/f.u.
**Electronic total energy**: -7.4967 eV/atom